# 1
Below is BaNb2O6 after structural relaxation, with properties calculated at the GGA-PBEsol level.

a b c (Å): 3.920 6.132 10.470
angles (deg): 90.00 90.00 90.00
Sites, in units of the cell vectors:
1 O 0.000 0.903 0.652
2 O 0.500 0.303 0.040
3 O 0.500 0.697 0.960
4 O 0.500 0.197 0.540
5 O 0.500 0.110 0.807
6 O 0.000 0.597 0.152
7 O 0.500 0.803 0.460
8 O 0.500 0.610 0.693
9 O 0.500 0.390 0.307
10 O 0.000 0.403 0.848
11 O 0.000 0.097 0.348
12 O 0.500 0.890 0.193
13 Nb 0.500 0.951 0.651
14 Nb 0.500 0.451 0.849
15 Nb 0.500 0.049 0.349
16 Nb 0.500 0.549 0.151
17 Ba 0.000 0.000 0.000
18 Ba 0.000 0.500 0.500

DOS(E_F)	0.000	states/eV per cell
crystal system	orthorhombic
size of the total moment	0.000	μB/cell
total DFT energy (no corrections)	-80.1	eV/f.u.
space-group type	Pbam

***

# 2
Below is Ba4Nb3O12 after structural relaxation, with properties calculated at the GGA-PBEsol level.

a b c (Å): 5.831 5.831 19.146
angles (deg): 90.00 90.00 120.00
Each line ends with the local moment (μB).
Sites, in units of the cell vectors:
1 O 0.651 0.825 0.883  0.08
2 O 0.831 0.662 0.123  0.05
3 O 0.003 0.501 0.505  0.05
4 O 0.165 0.835 0.242  0.03
5 O 0.499 0.501 0.505  0.05
6 O 0.825 0.175 0.383  0.08
7 O 0.835 0.165 0.742  0.03
8 O 0.165 0.330 0.242  0.03
9 O 0.169 0.831 0.623  0.05
10 O 0.330 0.165 0.742  0.03
11 O 0.175 0.825 0.883  0.08
12 O 0.175 0.349 0.883  0.08
13 O 0.499 0.997 0.505  0.05
14 O 0.831 0.169 0.123  0.05
15 O 0.501 0.499 0.005  0.05
16 O 0.997 0.499 0.005  0.05
17 O 0.825 0.651 0.383  0.08
18 O 0.662 0.831 0.623  0.05
19 O 0.835 0.670 0.742  0.03
20 O 0.338 0.169 0.123  0.05
21 O 0.349 0.175 0.383  0.08
22 O 0.670 0.835 0.242  0.03
23 O 0.501 0.003 0.005  0.05
24 O 0.169 0.338 0.623  0.05
25 Ba 0.333 0.667 0.355  0.00
26 Ba 0.000 0.000 0.992  0.00
27 Ba 0.333 0.667 0.755  0.00
28 Ba 0.667 0.333 0.630  0.00
29 Ba 0.000 0.000 0.492  0.00
30 Ba 0.333 0.667 0.130  0.00
31 Ba 0.667 0.333 0.255  0.00
32 Ba 0.667 0.333 0.855  0.00
33 Nb 0.667 0.333 0.064  -0.03
34 Nb 0.333 0.667 0.564  -0.03
35 Nb 0.667 0.333 0.435  -0.03
36 Nb 0.000 0.000 0.197  -0.02
37 Nb 0.333 0.667 0.935  -0.03
38 Nb 0.000 0.000 0.697  -0.02

DOS(E_F)	29.131	states/eV per cell
crystal system	hexagonal
size of the total moment	1.406	μB/cell
total DFT energy (no corrections)	-155.6	eV/f.u.
space-group type	P6_3mc

***

# 3
Below is Ba5Nb2O10 after structural relaxation, with properties calculated at the GGA-PBEsol level.

a b c (Å): 6.019 6.110 18.199
angles (deg): 90.00 90.00 119.51
Each line ends with the local moment (μB).
Sites, in units of the cell vectors:
1 O 0.427 0.854 0.000  0.07
2 O 0.976 0.951 0.894  0.00
3 O 0.868 0.189 0.255  0.00
4 O 0.969 0.423 0.109  0.00
5 O 0.963 0.465 0.875  0.00
6 O 0.031 0.577 0.609  0.00
7 O 0.503 0.465 0.875  0.00
8 O 0.308 0.617 0.238  0.00
9 O 0.454 0.423 0.109  0.00
10 O 0.546 0.577 0.609  0.00
11 O 0.679 0.811 0.755  0.00
12 O 0.132 0.811 0.755  0.00
13 O 0.024 0.049 0.394  0.00
14 O 0.321 0.189 0.255  0.00
15 O 0.497 0.535 0.375  0.00
16 O 0.037 0.535 0.375  0.00
17 O 0.984 0.967 0.135  0.00
18 O 0.573 0.146 0.500  0.07
19 O 0.016 0.033 0.635  0.00
20 O 0.692 0.383 0.738  0.00
21 Ba 0.504 0.008 0.866  0.00
22 Ba 0.178 0.355 0.753  0.00
23 Ba 0.496 0.992 0.366  0.00
24 Ba 0.152 0.304 0.523  0.00
25 Ba 0.813 0.627 0.479  0.00
26 Ba 0.187 0.373 0.979  0.00
27 Ba 0.496 0.992 0.136  0.00
28 Ba 0.504 0.008 0.636  0.00
29 Ba 0.822 0.645 0.253  0.00
30 Ba 0.848 0.696 0.023  0.00
31 Nb 0.166 0.331 0.330  0.00
32 Nb 0.834 0.669 0.830  0.00
33 Nb 0.158 0.317 0.169  0.00
34 Nb 0.842 0.683 0.669  0.00

DOS(E_F)	0.000	states/eV per cell
crystal system	orthorhombic
size of the total moment	0.215	μB/cell
total DFT energy (no corrections)	-131.9	eV/f.u.
space-group type	Cmc2_1

***

# 4
Below is Ba8Nb7O24 after structural relaxation, with properties calculated at the GGA-PBEsol level.

a b c (Å): 5.856 5.856 19.038
angles (deg): 90.00 90.00 120.00
Sites, in units of the cell vectors:
1 Nb 0.333 0.667 0.681
2 Nb 0.333 0.667 0.304
3 Nb 0.667 0.333 0.940
4 Nb 0.333 0.667 0.816
5 Nb 0.667 0.333 0.561
6 Nb 0.000 0.000 0.067
7 Nb 0.000 0.000 0.438
8 Ba 0.667 0.333 0.148
9 Ba 0.667 0.333 0.750
10 Ba 0.000 0.000 0.867
11 Ba 0.667 0.333 0.370
12 Ba 0.333 0.667 0.013
13 Ba 0.000 0.000 0.634
14 Ba 0.000 0.000 0.246
15 Ba 0.333 0.667 0.497
16 O 0.502 0.004 0.622
17 O 0.498 0.502 0.260
18 O 0.835 0.669 0.502
19 O 0.503 0.497 0.872
20 O 0.171 0.829 0.749
21 O 0.832 0.665 0.991
22 O 0.335 0.168 0.991
23 O 0.502 0.498 0.622
24 O 0.165 0.330 0.380
25 O 0.165 0.835 0.380
26 O 0.683 0.841 0.116
27 O 0.993 0.497 0.872
28 O 0.670 0.835 0.380
29 O 0.996 0.498 0.622
30 O 0.331 0.165 0.502
31 O 0.159 0.317 0.116
32 O 0.832 0.168 0.991
33 O 0.503 0.007 0.872
34 O 0.159 0.841 0.116
35 O 0.171 0.342 0.749
36 O 0.658 0.829 0.749
37 O 0.498 0.997 0.260
38 O 0.003 0.502 0.260
39 O 0.835 0.165 0.502

DOS(E_F)	4.851	states/eV per cell
crystal system	trigonal
size of the total moment	0.001	μB/cell
total DFT energy (no corrections)	-328.6	eV/f.u.
space-group type	P3m1

***

# 5
Below is Ba13Nb14O42 after structural relaxation, with properties calculated at the GGA-PBEsol level.

a b c (Å): 9.162 10.031 11.580
angles (deg): 73.19 71.57 90.03
Sites, in units of the cell vectors:
1 Ba 0.577 0.141 0.070
2 Ba 0.141 0.281 0.649
3 Ba 0.859 0.719 0.351
4 Ba 0.285 0.571 0.786
5 Ba 0.000 0.000 0.500
6 Ba 0.428 0.858 0.428
7 Ba 0.859 0.718 0.860
8 Ba 0.141 0.282 0.140
9 Ba 0.714 0.428 0.715
10 Ba 0.572 0.142 0.572
11 Ba 0.286 0.572 0.285
12 Ba 0.715 0.429 0.214
13 Ba 0.423 0.859 0.930
14 O 0.000 0.500 0.750
15 O 0.428 0.858 0.679
16 O 0.855 0.218 0.109
17 O 0.429 0.357 0.429
18 O 0.146 0.291 0.891
19 O 0.143 0.285 0.393
20 O 0.286 0.571 0.036
21 O 0.143 0.786 0.643
22 O 0.572 0.143 0.821
23 O 0.429 0.357 0.179
24 O 0.290 0.073 0.782
25 O 0.714 0.429 0.964
26 O 0.710 0.927 0.218
27 O 0.855 0.218 0.855
28 O 0.286 0.071 0.286
29 O 0.572 0.142 0.321
30 O 0.714 0.929 0.714
31 O 0.714 0.429 0.464
32 O 0.000 0.000 0.254
33 O 0.857 0.214 0.357
34 O 0.571 0.643 0.322
35 O 0.428 0.857 0.179
36 O 0.000 0.500 0.000
37 O 0.857 0.214 0.607
38 O 0.571 0.643 0.821
39 O 0.291 0.073 0.036
40 O 0.286 0.071 0.536
41 O 0.714 0.929 0.464
42 O 0.000 0.500 0.500
43 O 0.854 0.709 0.109
44 O 0.709 0.927 0.964
45 O 0.571 0.643 0.072
46 O 0.145 0.782 0.891
47 O 0.571 0.643 0.571
48 O 0.000 0.000 0.746
49 O 0.429 0.357 0.678
50 O 0.000 0.500 0.250
51 O 0.145 0.782 0.145
52 O 0.286 0.571 0.536
53 O 0.143 0.786 0.393
54 O 0.857 0.715 0.607
55 O 0.429 0.357 0.928
56 Nb 0.930 0.354 0.929
57 Nb 0.211 0.929 0.718
58 Nb 0.354 0.212 0.859
59 Nb 0.929 0.357 0.428
60 Nb 0.787 0.071 0.788
61 Nb 0.071 0.643 0.572
62 Nb 0.500 0.500 0.000
63 Nb 0.500 0.500 0.500
64 Nb 0.789 0.071 0.282
65 Nb 0.646 0.788 0.141
66 Nb 0.357 0.213 0.357
67 Nb 0.213 0.929 0.212
68 Nb 0.643 0.787 0.643
69 Nb 0.070 0.646 0.071

DOS(E_F)	15.979	states/eV per cell
crystal system	triclinic
size of the total moment	0.000	μB/cell
total DFT energy (no corrections)	-594.5	eV/f.u.
space-group type	P-1

***

# 6
Below is Ba3Nb2P4O18 after structural relaxation, with properties calculated at the GGA-PBEsol level.

a b c (Å): 4.971 8.966 9.533
angles (deg): 86.89 80.24 78.90
Sites, in units of the cell vectors:
1 P 0.295 0.869 0.360
2 P 0.705 0.131 0.640
3 P 0.178 0.382 0.221
4 P 0.822 0.618 0.779
5 Nb 0.267 0.881 0.730
6 Nb 0.733 0.119 0.270
7 O 0.538 0.255 0.740
8 O 0.242 0.807 0.514
9 O 0.998 0.498 0.678
10 O 0.451 0.316 0.284
11 O 0.754 0.559 0.931
12 O 0.564 0.991 0.642
13 O 0.436 0.009 0.358
14 O 0.462 0.745 0.260
15 O 0.032 0.242 0.211
16 O 0.011 0.929 0.307
17 O 0.731 0.073 0.090
18 O 0.269 0.927 0.910
19 O 0.968 0.758 0.789
20 O 0.002 0.502 0.322
21 O 0.246 0.441 0.069
22 O 0.989 0.071 0.693
23 O 0.758 0.193 0.486
24 O 0.549 0.684 0.716
25 Ba 0.024 0.267 0.906
26 Ba 0.500 0.500 0.500
27 Ba 0.976 0.733 0.094

DOS(E_F)	0.000	states/eV per cell
crystal system	triclinic
size of the total moment	0.000	μB/cell
total DFT energy (no corrections)	-217.6	eV/f.u.
space-group type	P-1

***

# 7
Below is BaNbTePO8 after structural relaxation, with properties calculated at the GGA-PBEsol level.

a b c (Å): 6.690 7.553 27.583
angles (deg): 90.00 90.00 90.00
Sites, in units of the cell vectors:
1 P 0.531 0.816 0.677
2 P 0.969 0.184 0.177
3 P 0.531 0.684 0.177
4 P 0.031 0.684 0.323
5 P 0.469 0.184 0.323
6 P 0.031 0.816 0.823
7 P 0.469 0.316 0.823
8 P 0.969 0.316 0.677
9 O 0.134 0.297 0.151
10 O 0.574 0.031 0.296
11 O 0.144 0.700 0.786
12 O 0.453 0.668 0.061
13 O 0.323 0.851 0.430
14 O 0.780 0.906 0.496
15 O 0.780 0.594 0.996
16 O 0.188 0.886 0.860
17 O 0.967 0.447 0.917
18 O 0.312 0.386 0.860
19 O 0.453 0.832 0.561
20 O 0.644 0.800 0.214
21 O 0.074 0.031 0.204
22 O 0.677 0.149 0.570
23 O 0.177 0.351 0.430
24 O 0.953 0.668 0.439
25 O 0.134 0.203 0.651
26 O 0.280 0.906 0.004
27 O 0.356 0.300 0.286
28 O 0.047 0.168 0.061
29 O 0.688 0.886 0.640
30 O 0.812 0.386 0.640
31 O 0.812 0.114 0.140
32 O 0.220 0.094 0.504
33 O 0.574 0.469 0.796
34 O 0.634 0.297 0.349
35 O 0.967 0.053 0.417
36 O 0.644 0.700 0.714
37 O 0.866 0.703 0.849
38 O 0.366 0.797 0.151
39 O 0.467 0.447 0.583
40 O 0.356 0.200 0.786
41 O 0.720 0.406 0.496
42 O 0.312 0.114 0.360
43 O 0.366 0.703 0.651
44 O 0.677 0.351 0.070
45 O 0.720 0.094 0.996
46 O 0.823 0.851 0.070
47 O 0.866 0.797 0.349
48 O 0.533 0.553 0.417
49 O 0.953 0.832 0.939
50 O 0.856 0.300 0.214
51 O 0.323 0.649 0.930
52 O 0.177 0.149 0.930
53 O 0.426 0.969 0.704
54 O 0.220 0.406 0.004
55 O 0.074 0.469 0.704
56 O 0.533 0.947 0.917
57 O 0.547 0.332 0.939
58 O 0.426 0.531 0.204
59 O 0.926 0.969 0.796
60 O 0.547 0.168 0.439
61 O 0.634 0.203 0.849
62 O 0.188 0.614 0.360
63 O 0.047 0.332 0.561
64 O 0.144 0.800 0.286
65 O 0.033 0.947 0.583
66 O 0.688 0.614 0.140
67 O 0.467 0.053 0.083
68 O 0.033 0.553 0.083
69 O 0.823 0.649 0.570
70 O 0.926 0.531 0.296
71 O 0.856 0.200 0.714
72 O 0.280 0.594 0.504
73 Te 0.280 0.636 0.574
74 Te 0.720 0.364 0.426
75 Te 0.220 0.136 0.574
76 Te 0.780 0.864 0.426
77 Te 0.720 0.136 0.926
78 Te 0.220 0.364 0.074
79 Te 0.780 0.636 0.926
80 Te 0.280 0.864 0.074
81 Nb 0.262 0.092 0.435
82 Nb 0.738 0.592 0.065
83 Nb 0.238 0.592 0.435
84 Nb 0.762 0.408 0.565
85 Nb 0.738 0.908 0.565
86 Nb 0.238 0.908 0.935
87 Nb 0.762 0.092 0.065
88 Nb 0.262 0.408 0.935
89 Ba 0.026 0.649 0.199
90 Ba 0.974 0.351 0.801
91 Ba 0.974 0.149 0.301
92 Ba 0.474 0.149 0.199
93 Ba 0.526 0.851 0.801
94 Ba 0.474 0.351 0.699
95 Ba 0.526 0.649 0.301
96 Ba 0.026 0.851 0.699

DOS(E_F)	0.000	states/eV per cell
crystal system	orthorhombic
size of the total moment	0.001	μB/cell
total DFT energy (no corrections)	-91.7	eV/f.u.
space-group type	Pbca

***

# 8
Below is Ba2ScNbO6 after structural relaxation, with properties calculated at the GGA-PBEsol level.

a b c (Å): 5.825 5.825 5.825
angles (deg): 60.00 60.00 60.00
Sites, in units of the cell vectors:
1 O 0.744 0.256 0.256
2 O 0.256 0.744 0.256
3 O 0.744 0.744 0.256
4 O 0.256 0.744 0.744
5 O 0.744 0.256 0.744
6 O 0.256 0.256 0.744
7 Ba 0.250 0.250 0.250
8 Ba 0.750 0.750 0.750
9 Nb 0.500 0.500 0.500
10 Sc 0.000 0.000 0.000

DOS(E_F)	0.000	states/eV per cell
crystal system	cubic
size of the total moment	0.000	μB/cell
total DFT energy (no corrections)	-84.3	eV/f.u.
space-group type	Fm-3m